Entry 1:
PBE-GGA LiGa2Hg, relaxed; E = -2.233 eV per atom; energy of formation from the pure elements = -0.165 eV/atom; total magnetic moment = 0.000 μB/atom; density of states at the Fermi level = 0.146 states/eV per atom; crystal system = tetragonal; SG = P4/mmm
1.0
4.437 0.000 0.000
0.000 4.086 0.000
0.000 0.000 4.086
Ga Li Hg
2 1 1
Cartesian
0.000 0.000 2.043 Ga
0.000 2.043 0.000 Ga
2.218 2.043 2.043 Li
2.218 0.000 0.000 Hg

---

Entry 2:
PBE-GGA Li5Ga3Hg3, relaxed; E = -1.901 eV per atom; energy of formation from the pure elements = -0.124 eV/atom; total magnetic moment = 0.000 μB/atom; density of states at the Fermi level = 0.503 states/eV per atom; crystal system = hexagonal; SG = P-62m
1.0
-2.273 -1.722 1.272
-0.898 -4.605 -7.838
5.818 -2.955 6.393
Hg Li Ga
3 5 3
Cartesian
2.069 -3.179 -0.608 Hg
3.372 -1.712 3.705 Hg
-0.520 -2.669 -4.542 Hg
0.817 -1.853 2.782 Li
2.443 -4.366 2.286 Li
2.132 -5.883 -0.324 Li
-1.438 -2.407 -1.995 Li
0.205 -4.916 -2.458 Li
3.714 -3.325 5.966 Ga
-1.885 -4.701 -5.899 Ga
-0.318 -2.118 0.396 Ga

---

Entry 3:
PBE-GGA Li6Ga3Hg, relaxed; E = -2.312 eV per atom; energy of formation from the pure elements = -0.225 eV/atom; energy relative to the lowest polymorph listed for this composition = 0.0507 eV/atom; total magnetic moment = 0.000 μB/atom; density of states at the Fermi level = 0.182 states/eV per atom; crystal system = monoclinic; SG = P2_1/c
1.0
-2.798 -0.167 7.357
5.895 -1.370 2.211
1.619 6.671 -0.184
Li Ga Hg
12 6 2
Cartesian
3.384 0.099 6.906 Li
2.696 5.415 7.343 Li
5.111 1.739 4.441 Li
-0.395 3.395 4.943 Li
0.244 1.355 6.668 Li
4.472 3.778 2.716 Li
4.097 -0.602 4.074 Li
0.620 5.736 5.309 Li
1.332 5.034 2.477 Li
2.020 -0.281 2.041 Li
2.699 2.838 7.358 Li
2.017 2.296 2.026 Li
4.405 1.052 1.705 Ga
0.809 3.335 -0.092 Ga
0.311 4.082 7.679 Ga
0.094 1.017 3.790 Ga
1.549 -0.768 4.784 Ga
4.623 4.116 5.594 Ga
2.358 2.567 4.692 Hg
0.000 0.000 0.000 Hg

---

Entry 4:
PBE-GGA LiGaHg2, relaxed; E = -1.552 eV per atom; energy of formation from the pure elements = -0.166 eV/atom; total magnetic moment = 0.000 μB/atom; density of states at the Fermi level = 0.243 states/eV per atom; crystal system = tetragonal; SG = P4/mmm
1.0
-0.820 1.973 -2.889
-0.311 -2.997 -1.958
-6.137 -0.347 1.506
Li Ga Hg
1 1 2
Cartesian
-0.566 -0.512 -2.424 Li
-3.634 -0.686 -1.671 Ga
-1.474 -0.083 0.362 Hg
-4.664 -0.264 1.144 Hg

---

Entry 5:
PBE-GGA Li2Ga2Hg3, relaxed; E = -1.708 eV per atom; energy of formation from the pure elements = -0.167 eV/atom; total magnetic moment = 0.000 μB/atom; density of states at the Fermi level = 0.249 states/eV per atom; crystal system = monoclinic; SG = C2/m
1.0
3.478 0.000 0.000
-1.739 4.629 -0.227
0.000 0.908 8.802
Li Hg Ga
2 3 2
Cartesian
1.739 1.236 6.213 Li
0.000 4.300 2.362 Li
0.000 3.322 7.090 Hg
0.000 0.000 0.000 Hg
1.739 2.214 1.484 Hg
1.739 3.773 4.704 Ga
0.000 1.764 3.871 Ga

---

Entry 6:
PBE-GGA Li4Ga2Hg5, relaxed; E = -1.600 eV per atom; energy of formation from the pure elements = -0.217 eV/atom; total magnetic moment = 0.000 μB/atom; density of states at the Fermi level = 0.269 states/eV per atom; crystal system = monoclinic; SG = C2/m
1.0
4.505 0.000 -1.287
-0.041 6.459 -0.144
-0.246 0.281 7.666
Li Hg Ga
4 5 2
Cartesian
2.875 5.009 1.535 Li
1.343 1.731 4.701 Li
0.018 4.761 0.064 Li
4.199 1.978 6.171 Li
0.684 3.265 2.394 Hg
3.533 3.474 3.841 Hg
0.691 0.134 2.419 Hg
2.252 0.000 -0.643 Hg
3.526 6.605 3.816 Hg
2.544 2.573 0.377 Ga
1.673 4.167 5.858 Ga

---

Entry 7:
PBE-GGA LiGa2Hg, relaxed; E = -2.119 eV per atom; energy of formation from the pure elements = -0.052 eV/atom; total magnetic moment = 0.000 μB/atom; density of states at the Fermi level = 0.289 states/eV per atom; crystal system = trigonal; SG = R3m
1.0
-2.712 0.682 -1.411
-2.093 -2.265 -0.549
-5.440 1.046 7.485
Hg Li Ga
1 1 2
Cartesian
-5.121 -0.269 2.760 Hg
-3.206 -1.054 -1.299 Li
-4.537 0.676 5.570 Ga
-2.502 -0.158 1.257 Ga

---

Entry 8:
PBE-GGA LiGa2Hg6, relaxed; E = -1.110 eV per atom; energy of formation from the pure elements = -0.023 eV/atom; total magnetic moment = 0.000 μB/atom; density of states at the Fermi level = 0.365 states/eV per atom; crystal system = monoclinic; SG = C2/m
1.0
4.883 0.000 1.615
2.489 6.674 0.665
0.387 -2.313 7.022
Hg Li Ga
6 1 2
Cartesian
6.745 5.023 4.175 Hg
3.647 0.757 5.353 Hg
1.013 -0.662 5.127 Hg
5.418 2.331 8.189 Hg
2.340 2.030 1.113 Hg
4.111 3.603 3.949 Hg
1.438 2.180 3.844 Li
4.577 1.070 2.540 Ga
3.181 3.291 6.762 Ga

---

Entry 9:
PBE-GGA Li2GaHg2, relaxed; E = -1.696 eV per atom; energy of formation from the pure elements = -0.204 eV/atom; energy relative to the lowest polymorph listed for this composition = 0.0330 eV/atom; total magnetic moment = 0.000 μB/atom; density of states at the Fermi level = 0.394 states/eV per atom; crystal system = tetragonal; SG = P4/mbm
1.0
7.632 0.000 0.000
0.000 7.632 0.000
0.000 0.000 3.274
Hg Ga Li
4 2 4
Cartesian
1.183 4.999 1.637 Hg
2.633 1.183 1.637 Hg
6.449 2.633 1.637 Hg
4.999 6.449 1.637 Hg
0.000 0.000 0.000 Ga
3.816 3.816 0.000 Ga
4.886 1.070 0.000 Li
6.561 4.886 0.000 Li
1.070 2.745 0.000 Li
2.745 6.561 0.000 Li

---

Entry 10:
PBE-GGA Li6Ga2Hg, relaxed; E = -2.027 eV per atom; energy of formation from the pure elements = -0.045 eV/atom; energy relative to the lowest polymorph listed for this composition = 0.2253 eV/atom; total magnetic moment = 0.000 μB/atom; density of states at the Fermi level = 0.380 states/eV per atom; crystal system = tetragonal; SG = P4_2/mnm
1.0
-4.590 0.608 -5.259
-1.289 -6.880 0.329
-6.247 1.438 5.619
Li Ga Hg
12 4 2
Cartesian
-6.267 -4.136 2.775 Li
-5.407 -4.378 -2.672 Li
-3.827 -1.124 -3.967 Li
-2.616 -1.400 -0.331 Li
-8.002 -0.203 -0.160 Li
-4.124 -4.630 0.848 Li
-6.719 -0.455 3.360 Li
-5.858 -0.697 -2.087 Li
-7.423 -3.868 -0.797 Li
-4.703 -0.966 1.485 Li
-9.510 -3.433 1.019 Li
-2.052 -5.148 -0.964 Li
-5.229 1.204 4.703 Ga
-1.018 0.234 0.916 Ga
-5.045 -2.651 -0.572 Ga
-7.081 -2.182 1.260 Ga
-2.940 -3.136 -2.465 Hg
-3.123 0.719 2.809 Hg

---

Entry 11:
PBE-GGA LiGaHg3, relaxed; E = -1.300 eV per atom; energy of formation from the pure elements = -0.131 eV/atom; energy relative to the lowest polymorph listed for this composition = 0.0000 eV/atom; total magnetic moment = 0.000 μB/atom; density of states at the Fermi level = 0.259 states/eV per atom; crystal system = triclinic; SG = P-1
1.0
-1.550 -0.246 -3.232
-3.464 -4.451 6.226
-2.866 7.460 2.567
Hg Li Ga
6 2 2
Cartesian
-2.687 -2.408 2.200 Hg
-1.956 2.291 1.372 Hg
-1.404 -0.091 -2.705 Hg
-3.947 4.974 2.015 Hg
-4.138 0.162 2.694 Hg
-5.743 0.236 5.444 Hg
-4.013 -2.071 4.867 Li
-2.814 -0.178 0.028 Li
-3.415 2.666 4.078 Ga
-6.274 2.549 3.384 Ga

---

Entry 12:
PBE-GGA LiGaHg3, relaxed; E = -1.276 eV per atom; energy of formation from the pure elements = -0.107 eV/atom; energy relative to the lowest polymorph listed for this composition = 0.0238 eV/atom; total magnetic moment = 0.000 μB/atom; density of states at the Fermi level = 0.302 states/eV per atom; crystal system = triclinic; SG = P-1
1.0
-2.355 -1.886 1.011
4.263 -0.738 4.648
-2.399 6.508 10.881
Ga Hg Li
2 6 2
Cartesian
1.904 -2.184 4.989 Ga
-1.635 2.646 8.651 Ga
2.750 0.343 6.547 Hg
1.133 1.341 9.100 Hg
-0.126 2.003 6.081 Hg
-0.577 4.746 10.431 Hg
0.802 4.111 13.079 Hg
-0.864 -0.880 4.538 Hg
-0.122 1.758 11.604 Li
-2.007 5.211 12.917 Li